First-principles (GGA-PBE) data for crystalline TaIn2Hg at its relaxed geometry, as listed in Alexandria.

## Properties
- density of states at the Fermi level (states/eV/cell) = 4.54
- E_form (eV/atom) = 0.3283
- total magnetization (μB per formula unit) = 0.00
- calculated total energy (eV/atom) = -4.080

Geometry as CIF:
```
data_TaIn2Hg
_symmetry_space_group_name_H-M 'I 4/m m m'
_symmetry_Int_Tables_number 139
_symmetry_space_group_name_Hall '-I 4 2'
_cell_length_a 4.210
_cell_length_b 4.210
_cell_length_c 9.523
_cell_angle_alpha 90.00
_cell_angle_beta 90.00
_cell_angle_gamma 90.00
loop_
_atom_site_label
_atom_site_fract_x
_atom_site_fract_y
_atom_site_fract_z
Ta1 0.000 0.000 0.000
In1 0.000 0.500 0.250
Hg1 0.000 0.000 0.500
```